# PBE Er3MgCo, relaxed
# **E above lowest polymorph**: 0 meV/atom
data_Er3MgCo
_cell_length_a 12.403
_cell_length_b 3.500
_cell_length_c 11.672
_cell_angle_alpha 90.00
_cell_angle_beta 99.96
_cell_angle_gamma 90.00
_symmetry_space_group_name_H-M 'C 1 2/m 1'
_symmetry_Int_Tables_number 12
loop_
_symmetry_equiv_pos_as_xyz
'x,y,z'
'-x,-y,-z'
'-x,y,-z'
'x,-y,z'
'x+1/2,y+1/2,z'
'-x+1/2,-y+1/2,-z'
'-x+1/2,y+1/2,-z'
'x+1/2,-y+1/2,z'
loop_
_atom_site_label
_atom_site_type_symbol
_atom_site_fract_x
_atom_site_fract_y
_atom_site_fract_z
Er1 Er 0.005 0.000 0.183
Er2 Er 0.114 0.500 0.442
Er3 Er 0.208 0.500 0.736
Mg1 Mg 0.154 0.500 0.025
Co1 Co 0.063 0.000 0.615


# PBE Er11Mg9Co4, relaxed
# **Total energy**: -4.010 eV/atom
data_Er11Mg9Co4
_cell_length_a 14.316
_cell_length_b 21.879
_cell_length_c 3.609
_cell_angle_alpha 90.00
_cell_angle_beta 90.00
_cell_angle_gamma 90.00
_symmetry_space_group_name_H-M 'C m m m'
_symmetry_Int_Tables_number 65
_symmetry_space_group_name_Hall '-C 2 2'
loop_
_atom_site_label
_atom_site_type_symbol
_atom_site_fract_x
_atom_site_fract_y
_atom_site_fract_z
Er1 Er 0.000 0.000 0.000
Er2 Er 0.000 0.155 0.000
Er3 Er 0.000 0.371 0.000
Er4 Er 0.189 0.500 0.000
Er5 Er 0.242 0.338 0.000
Mg1 Mg 0.000 0.500 0.500
Mg2 Mg 0.108 0.256 0.500
Mg3 Mg 0.148 0.071 0.500
Co1 Co 0.142 0.404 0.500


# PBE Er2MgCo, relaxed
# **Total energy**: -4.488 eV/atom
data_Er2MgCo
_cell_length_a 3.7365
_cell_length_b 3.7365
_cell_length_c 25.3736
_cell_angle_alpha 90.00
_cell_angle_beta 90.00
_cell_angle_gamma 120.00
_symmetry_space_group_name_H-M 'R 3 m'
_symmetry_Int_Tables_number 160
_symmetry_space_group_name_Hall 'R 3 -2"'
loop_
_atom_site_label
_atom_site_type_symbol
_atom_site_fract_x
_atom_site_fract_y
_atom_site_fract_z
Er1 Er 0.0000 0.0000 0.0000
Er2 Er 0.0000 0.0000 0.2154
Mg1 Mg 0.0000 0.0000 0.7738
Co1 Co 0.0000 0.0000 0.6083


# PBE Er2MgCo, relaxed
# **Total energy**: -4.460 eV/atom
data_Er2MgCo
_cell_length_a 4.924
_cell_length_b 4.924
_cell_length_c 3.597
_cell_angle_alpha 90.00
_cell_angle_beta 90.00
_cell_angle_gamma 90.00
_symmetry_space_group_name_H-M 'P 4/m m m'
_symmetry_Int_Tables_number 123
_symmetry_space_group_name_Hall '-P 4 2'
loop_
_atom_site_label
_atom_site_type_symbol
_atom_site_fract_x
_atom_site_fract_y
_atom_site_fract_z
Er1 Er 0.000 0.500 0.000
Mg1 Mg 0.000 0.000 0.500
Co1 Co 0.500 0.500 0.500


# PBE Er5Mg2Co2, relaxed
# **Total energy**: -4.596 eV/atom
data_Er5Mg2Co2
_cell_length_a 17.390
_cell_length_b 7.111
_cell_length_c 7.172
_cell_angle_alpha 90.00
_cell_angle_beta 90.00
_cell_angle_gamma 90.00
_symmetry_space_group_name_H-M 'C m c e'
_symmetry_Int_Tables_number 64
_symmetry_space_group_name_Hall '-C 2ac 2'
loop_
_atom_site_label
_atom_site_type_symbol
_atom_site_fract_x
_atom_site_fract_y
_atom_site_fract_z
Er1 Er 0.000 0.000 0.000
Er2 Er 0.111 0.186 0.316
Mg1 Mg 0.231 0.000 0.000
Co1 Co 0.000 0.112 0.612


# PBE Er12MgCo6, relaxed
# **Total energy**: -5.415 eV/atom
data_Er12MgCo6
_cell_length_a 9.602
_cell_length_b 9.602
_cell_length_c 9.602
_cell_angle_alpha 90.00
_cell_angle_beta 90.00
_cell_angle_gamma 90.00
_symmetry_space_group_name_H-M 'I m -3'
_symmetry_Int_Tables_number 204
_symmetry_space_group_name_Hall '-I 2 2 3'
loop_
_atom_site_label
_atom_site_type_symbol
_atom_site_fract_x
_atom_site_fract_y
_atom_site_fract_z
Er1 Er 0.000 0.305 0.194
Mg1 Mg 0.000 0.000 0.000
Co1 Co 0.000 0.114 0.500


# PBE Er6Mg3Co, relaxed
# **Total energy**: -3.940 eV/atom
data_Er6Mg3Co
_cell_length_a 9.318
_cell_length_b 11.011
_cell_length_c 5.141
_cell_angle_alpha 90.00
_cell_angle_beta 90.00
_cell_angle_gamma 90.00
_symmetry_space_group_name_H-M 'P n n m'
_symmetry_Int_Tables_number 58
loop_
_symmetry_equiv_pos_as_xyz
'x,y,z'
'-x,-y,-z'
'-x,-y,z'
'x,y,-z'
'x+1/2,-y+1/2,-z+1/2'
'-x+1/2,y+1/2,z+1/2'
'-x+1/2,y+1/2,-z+1/2'
'x+1/2,-y+1/2,z+1/2'
loop_
_atom_site_label
_atom_site_type_symbol
_atom_site_fract_x
_atom_site_fract_y
_atom_site_fract_z
Er1 Er 0.027 0.227 0.000
Er2 Er 0.154 0.069 0.500
Er3 Er 0.204 0.403 0.500
Mg1 Mg 0.000 0.500 0.000
Mg2 Mg 0.143 0.713 0.500
Co1 Co 0.000 0.000 0.000


# PBE ErMgCoNi, relaxed
# **Total energy**: -4.908 eV/atom
data_ErMgCoNi
_cell_length_a 6.381
_cell_length_b 6.381
_cell_length_c 6.381
_cell_angle_alpha 90.00
_cell_angle_beta 90.00
_cell_angle_gamma 90.00
_symmetry_space_group_name_H-M 'F -4 3 m'
_symmetry_Int_Tables_number 216
_symmetry_space_group_name_Hall 'F -4 2 3'
loop_
_atom_site_label
_atom_site_type_symbol
_atom_site_fract_x
_atom_site_fract_y
_atom_site_fract_z
Er1 Er 0.000 0.000 0.000
Mg1 Mg 0.000 0.000 0.500
Co1 Co 0.250 0.250 0.750
Ni1 Ni 0.250 0.250 0.250


# PBE ErMgCoPt, relaxed
# **Total energy**: -5.368 eV/atom
data_ErMgCoPt
_cell_length_a 6.532
_cell_length_b 6.532
_cell_length_c 6.532
_cell_angle_alpha 90.00
_cell_angle_beta 90.00
_cell_angle_gamma 90.00
_symmetry_space_group_name_H-M 'F -4 3 m'
_symmetry_Int_Tables_number 216
_symmetry_space_group_name_Hall 'F -4 2 3'
loop_
_atom_site_label
_atom_site_type_symbol
_atom_site_fract_x
_atom_site_fract_y
_atom_site_fract_z
Er1 Er 0.000 0.000 0.000
Mg1 Mg 0.000 0.000 0.500
Co1 Co 0.250 0.250 0.250
Pt1 Pt 0.250 0.250 0.750


# PBE ErMgCoRh, relaxed
# **Total energy**: -5.518 eV/atom
data_ErMgCoRh
_cell_length_a 6.439
_cell_length_b 6.439
_cell_length_c 6.439
_cell_angle_alpha 90.00
_cell_angle_beta 90.00
_cell_angle_gamma 90.00
_symmetry_space_group_name_H-M 'F -4 3 m'
_symmetry_Int_Tables_number 216
_symmetry_space_group_name_Hall 'F -4 2 3'
loop_
_atom_site_label
_atom_site_type_symbol
_atom_site_fract_x
_atom_site_fract_y
_atom_site_fract_z
Er1 Er 0.000 0.000 0.000
Mg1 Mg 0.000 0.000 0.500
Co1 Co 0.250 0.250 0.750
Rh1 Rh 0.250 0.250 0.250


# PBE ErMgCoRu, relaxed
# **Total energy**: -5.677 eV/atom
data_ErMgCoRu
_cell_length_a 6.430
_cell_length_b 6.430
_cell_length_c 6.430
_cell_angle_alpha 90.00
_cell_angle_beta 90.00
_cell_angle_gamma 90.00
_symmetry_space_group_name_H-M 'F -4 3 m'
_symmetry_Int_Tables_number 216
_symmetry_space_group_name_Hall 'F -4 2 3'
loop_
_atom_site_label
_atom_site_type_symbol
_atom_site_fract_x
_atom_site_fract_y
_atom_site_fract_z
Er1 Er 0.000 0.000 0.000
Mg1 Mg 0.000 0.000 0.500
Co1 Co 0.250 0.250 0.250
Ru1 Ru 0.250 0.250 0.750


# PBE ErMgScCo, relaxed
# **E above lowest polymorph**: 147 meV/atom
data_ErMgScCo
_cell_length_a 6.841
_cell_length_b 6.841
_cell_length_c 6.841
_cell_angle_alpha 90.00
_cell_angle_beta 90.00
_cell_angle_gamma 90.00
_symmetry_space_group_name_H-M 'F -4 3 m'
_symmetry_Int_Tables_number 216
_symmetry_space_group_name_Hall 'F -4 2 3'
loop_
_atom_site_label
_atom_site_type_symbol
_atom_site_fract_x
_atom_site_fract_y
_atom_site_fract_z
Er1 Er 0.000 0.000 0.000
Mg1 Mg 0.250 0.250 0.750
Sc1 Sc 0.000 0.000 0.500
Co1 Co 0.250 0.250 0.250


Total moment values (in μB per cell) by entry order: 0.00; 0.38; 0.00; 0.43; 0.00; 0.00; 0.00; 0.01; 1.84; 0.00; 1.88; 0.49.
DOS at the Fermi energy values (in states/eV/atom) by entry order: 0.877; 0.952; 0.647; 0.839; 0.830; 0.872; 0.776; 0.752; 0.523; 0.621; 1.182; 0.565.